Entry 1:
Ti4Al2Mo | PBE | optimized geometry

Geometry as CIF:
```
data_Ti4Al2Mo
_space_group_name_H-M_alt 'I 4/m m m'
_space_group_IT_number 139
_space_group_name_Hall '-I 4 2'
_cell_length_a 4.6740
_cell_length_b 4.6740
_cell_length_c 13.3705
_cell_angle_alpha 90.00
_cell_angle_beta 90.00
_cell_angle_gamma 90.00
loop_
_atom_site_label
_atom_site_type_symbol
_atom_site_fract_x
_atom_site_fract_y
_atom_site_fract_z
Ti1 Ti 0.0000 0.0000 0.1814
Ti2 Ti 0.0000 0.5000 0.0000
Al1 Al 0.0000 0.0000 0.3814
Mo1 Mo 0.0000 0.0000 0.0000
```

Results
E_form = 0.6159 eV/atom

***

Entry 2:
KPdCl | PBE | optimized geometry

Geometry as CIF:
```
data_KPdCl
_space_group_name_H-M_alt 'F -4 3 m'
_space_group_IT_number 216
_space_group_name_Hall 'F -4 2 3'
_cell_length_a 6.8263
_cell_length_b 6.8263
_cell_length_c 6.8263
_cell_angle_alpha 90.00
_cell_angle_beta 90.00
_cell_angle_gamma 90.00
loop_
_atom_site_label
_atom_site_type_symbol
_atom_site_fract_x
_atom_site_fract_y
_atom_site_fract_z
K1 K 0.0000 0.0000 0.0000
Pd1 Pd 0.0000 0.0000 0.5000
Cl1 Cl 0.2500 0.2500 0.2500
```

Results
ΔE_f (raw) = -0.392 eV/atom

***

Entry 3:
ThSc2In | PBE | optimized geometry

Geometry as CIF:
```
data_ThSc2In
_space_group_name_H-M_alt 'P 4/m m m'
_space_group_IT_number 123
_space_group_name_Hall '-P 4 2'
_cell_length_a 4.7513
_cell_length_b 4.7513
_cell_length_c 4.5626
_cell_angle_alpha 90.00
_cell_angle_beta 90.00
_cell_angle_gamma 90.00
loop_
_atom_site_label
_atom_site_type_symbol
_atom_site_fract_x
_atom_site_fract_y
_atom_site_fract_z
Th1 Th 0.0000 0.0000 0.0000
Sc1 Sc 0.0000 0.5000 0.5000
In1 In 0.5000 0.5000 0.0000
```

Results
E_form = -0.1990 eV/atom

***

Asked for magnetic moment across the records above, the calculation gives 0.0 0.0 0.0 μB per cell in order.